Record 1
VASP calculation (PBE-GGA) on a relaxed CeDy5In4 crystal.

Cell lengths 3.5200, 3.5200, 21.9671 Å; angles 90.00, 90.00, 90.00 degrees
Space group P4/mmm (No. 123)
One atom of each set of equivalent atoms:
Ce (0.0000, 0.0000, 0.0000)
Dy (0.5000, 0.5000, 0.1111)
Dy (0.5000, 0.5000, 0.3055)
Dy (0.5000, 0.5000, 0.5000)
In (0.0000, 0.0000, 0.2075)
In (0.0000, 0.0000, 0.4025)

## Properties
**Offset from the most stable computed form**: 0 meV per atom

=====

Record 2
VASP calculation (PBE-GGA) on a relaxed Ce2DyIn4 crystal.

Cell lengths 6.2061, 11.5967, 6.2436 Å; angles 90.00, 90.00, 90.00 degrees
Space group Cmmm (No. 65)
One atom of each set of equivalent atoms:
Ce (0.0000, 0.1190, 0.0000)
Dy (0.0000, 0.5000, 0.5000)
In (0.0000, 0.1347, 0.5000)
In (0.0000, 0.3820, 0.0000)

## Properties
**Offset from the most stable computed form**: 386 meV per atom

=====

Record 3
VASP calculation (PBE-GGA) on a relaxed Ce3Dy2In6 crystal.

Cell lengths 5.9055, 5.9055, 22.0886 Å; angles 90.00, 90.00, 90.00 degrees
Space group I4/mmm (No. 139)
One atom of each set of equivalent atoms:
Ce (0.0000, 0.0000, 0.0000)
Ce (0.0000, 0.0000, 0.1404)
Dy (0.0000, 0.0000, 0.4254)
In (0.0000, 0.0000, 0.2863)
In (0.0000, 0.5000, 0.0689)

=====

Record 4
VASP calculation (PBE-GGA) on a relaxed Ce4Dy9In11 crystal.

Cell lengths 16.2555, 23.4572, 3.4315 Å; angles 90.00, 90.00, 90.00 degrees
Space group Cmmm (No. 65)
One atom of each set of equivalent atoms:
Ce (0.1730, 0.0806, 0.0000)
Dy (0.0000, 0.0000, 0.0000)
Dy (0.1060, 0.4020, 0.0000)
Dy (0.1126, 0.2213, 0.0000)
In (0.0000, 0.1225, 0.5000)
In (0.0000, 0.3091, 0.5000)
In (0.0000, 0.5000, 0.5000)
In (0.1972, 0.5000, 0.5000)
In (0.2247, 0.3155, 0.5000)

=====

Record 5
VASP calculation (PBE-GGA) on a relaxed CeDy2In crystal.

Cell lengths 7.6274, 7.6274, 7.6274 Å; angles 90.00, 90.00, 90.00 degrees
Space group Fm-3m (No. 225)
One atom of each set of equivalent atoms:
Ce (0.0000, 0.0000, 0.0000)
Dy (0.2500, 0.2500, 0.2500)
In (0.0000, 0.0000, 0.5000)

## Properties
**Offset from the most stable computed form**: 143 meV per atom

=====

Record 6
VASP calculation (PBE-GGA) on a relaxed Ce2DyIn2 crystal.

Cell lengths 9.1953, 9.1953, 3.3912 Å; angles 90.00, 90.00, 90.00 degrees
Space group P4/mbm (No. 127)
One atom of each set of equivalent atoms:
Ce (0.1035, 0.3965, 0.0000)
Dy (0.0000, 0.0000, 0.0000)
In (0.1892, 0.6892, 0.5000)

=====

Number 1: magnetic moment 0.45 μB/f.u., formation energy from the elements -365 meV per atom. Number 2: magnetic moment 2.37 μB/f.u., formation energy from the elements 149 meV per atom. Number 3: magnetic moment 2.59 μB/f.u., formation energy from the elements 97 meV per atom. Number 4: magnetic moment 5.73 μB/f.u., formation energy from the elements -361 meV per atom. Number 5: magnetic moment 0.03 μB/f.u., formation energy from the elements -74 meV per atom. Number 6: magnetic moment 1.42 μB/f.u., formation energy from the elements -175 meV per atom.